(1)
Entry from Alexandria via LeMat-Bulk: SrCu2SiPd4 after structural relaxation (PBE-GGA).

Properties
calculated volume = 17.5 Å³ per atom
energy relative to the elements, uncorrected = -0.401 eV per atom
space-group type = R-3m
E = -39.28 eV/cell

```
8
Lattice="2.147 1.240 8.772 -2.147 1.240 8.772 0.000 -2.479 8.772" Properties=species:S:1:pos:R:3 pbc="T T T"
Sr 0.000 0.000 0.000
Cu 0.000 0.000 6.343
Cu 0.000 0.000 19.974
Si 0.000 0.000 13.158
Pd 0.000 0.000 3.591
Pd 0.000 0.000 10.805
Pd 0.000 0.000 15.511
Pd 0.000 0.000 22.725
```

---

(2)
Entry from Alexandria via LeMat-Bulk: Sr2Cu4Si3Pd after structural relaxation (PBE-GGA).

Properties
calculated volume = 17.9 Å³ per atom
energy relative to the elements, uncorrected = -0.316 eV per atom
space-group type = P-4m2
E = -44.37 eV/cell

```
10
Lattice="4.182 0.000 0.000 0.000 4.182 0.000 0.000 0.000 10.218" Properties=species:S:1:pos:R:3 pbc="T T T"
Sr 0.000 2.091 2.534
Sr 2.091 0.000 7.685
Cu 0.000 0.000 0.000
Cu 0.000 2.091 6.555
Cu 2.091 0.000 3.663
Cu 2.091 2.091 0.000
Si 0.000 2.091 8.979
Si 2.091 0.000 1.240
Si 2.091 2.091 5.109
Pd 0.000 0.000 5.109
```

---

(3)
Entry from Alexandria via LeMat-Bulk: Sr2Cu6SiPd after structural relaxation (PBE-GGA).

Properties
calculated volume = 19.2 Å³ per atom
energy relative to the elements, uncorrected = -0.179 eV per atom
space-group type = C2/m
E = -40.35 eV/cell

```
10
Lattice="5.407 -3.122 0.000 5.407 3.122 0.000 -3.592 0.000 5.682" Properties=species:S:1:pos:R:3 pbc="T T T"
Sr 1.803 0.000 0.712
Sr 5.420 0.000 4.971
Cu 0.380 0.000 3.570
Cu 2.525 1.239 3.570
Cu 4.697 1.239 2.112
Cu 2.525 -1.239 3.570
Cu 4.697 -1.239 2.112
Cu 6.842 0.000 2.112
Si -1.796 0.000 2.841
Pd 5.407 0.000 0.000
```

---

(4)
Entry from Alexandria via LeMat-Bulk: TbCuSi2Pd after structural relaxation (PBE-GGA).

Properties
calculated volume = 16.6 Å³ per atom
energy relative to the elements, uncorrected = -0.776 eV per atom
space-group type = I-4m2
E = -28.64 eV/cell

```
5
Lattice="-2.025 2.025 5.071 2.025 -2.025 5.071 2.025 2.025 -5.071" Properties=species:S:1:pos:R:3 pbc="T T T"
Tb 0.000 0.000 0.000
Cu 2.025 0.000 2.535
Si 0.000 0.000 3.902
Si 0.000 0.000 6.240
Pd 0.000 2.025 2.535
```

---

(5)
Entry from Alexandria via LeMat-Bulk: Tb2CuSi4Pd3 after structural relaxation (PBE-GGA).

Properties
calculated volume = 17.1 Å³ per atom
energy relative to the elements, uncorrected = -0.802 eV per atom
space-group type = P-4m2
E = -58.65 eV/cell

```
10
Lattice="4.126 0.000 0.000 0.000 4.126 0.000 0.000 0.000 10.066" Properties=species:S:1:pos:R:3 pbc="T T T"
Tb 0.000 2.063 2.482
Tb 2.063 0.000 7.583
Cu 2.063 2.063 0.000
Si 0.000 0.000 5.033
Si 0.000 2.063 8.727
Si 2.063 0.000 1.339
Si 2.063 2.063 5.033
Pd 0.000 0.000 0.000
Pd 0.000 2.063 6.313
Pd 2.063 0.000 3.753
```

---

(6)
Entry from Alexandria via LeMat-Bulk: CuSiTcPd after structural relaxation (PBE-GGA).

Properties
calculated volume = 13.3 Å³ per atom
energy relative to the elements, uncorrected = -0.222 eV per atom
space-group type = F-43m
E = -25.97 eV/cell

```
4
Lattice="0.000 2.988 2.988 2.988 0.000 2.988 2.988 2.988 0.000" Properties=species:S:1:pos:R:3 pbc="T T T"
Cu 0.000 0.000 0.000
Si 2.988 2.988 2.988
Tc 1.494 1.494 1.494
Pd 4.482 4.482 4.482
```

---

(7)
Entry from Alexandria via LeMat-Bulk: Cu2SiTe4Pd after structural relaxation (PBE-GGA).

Properties
calculated volume = 26.8 Å³ per atom
energy relative to the elements, uncorrected = -0.102 eV per atom
space-group type = I-42m
E = -32.19 eV/cell

```
8
Lattice="-3.037 3.037 5.814 3.037 -3.037 5.814 3.037 3.037 -5.814" Properties=species:S:1:pos:R:3 pbc="T T T"
Cu 3.037 0.000 2.907
Cu 0.000 3.037 2.907
Si 0.000 0.000 0.000
Te 1.491 1.491 -1.492
Te 1.545 -1.545 7.307
Te 1.545 1.545 4.322
Te -1.545 1.545 7.307
Pd 0.000 0.000 5.814
```

---

(8)
Entry from Alexandria via LeMat-Bulk: Th2Cu3Si4Pd after structural relaxation (PBE-GGA).

Properties
calculated volume = 17.2 Å³ per atom
energy relative to the elements, uncorrected = -0.624 eV per atom
space-group type = P-4m2
E = -60.26 eV/cell

```
10
Lattice="4.184 0.000 0.000 0.000 4.184 0.000 0.000 0.000 9.804" Properties=species:S:1:pos:R:3 pbc="T T T"
Th 0.000 2.092 2.425
Th 2.092 0.000 7.380
Cu 0.000 2.092 8.582
Cu 2.092 0.000 1.222
Cu 2.092 2.092 4.902
Si 0.000 0.000 0.000
Si 0.000 2.092 6.197
Si 2.092 0.000 3.607
Si 2.092 2.092 0.000
Pd 0.000 0.000 4.902
```